Record 1
Below is crystalline ScIrOs2 at its relaxed geometry, with properties calculated at the PBE-GGA level.

Cell lengths 2.836, 2.836, 7.819 Å; angles 90.00, 90.00, 90.00 degrees
Sites, in units of the cell vectors:
Ir 0.500 0.500 0.766
Os 0.000 0.000 0.006
Os 0.500 0.500 0.226
Sc 0.000 0.000 0.502

Calculated values
* ΔE_f: -177.3 meV per atom
* symmetry: P4mm
* energy above the lowest structure with this stoichiometry: 0 meV per atom

---

Record 2
Below is crystalline VTcW at its relaxed geometry, with properties calculated at the PBE-GGA level.

Cell lengths 2.576, 2.576, 7.546 Å; angles 99.83, 99.83, 90.00 degrees
Sites, in units of the cell vectors:
Tc 0.105 0.105 0.211
V 0.459 0.459 0.918
W 0.286 0.286 0.571

Calculated values
* ΔE_f: 838.1 meV per atom
* symmetry: I4mm
* energy above the lowest structure with this stoichiometry: 978 meV per atom

---

Record 3
Below is crystalline La2Se at its relaxed geometry, with properties calculated at the PBE-GGA level.

Cell lengths 6.347, 6.347, 6.347 Å; angles 60.00, 60.00, 60.00 degrees
Sites, in units of the cell vectors:
La 0.125 0.125 0.625
La 0.125 0.625 0.125
Se 0.750 0.750 0.750
La 0.125 0.125 0.125
La 0.625 0.125 0.125
Se 0.500 0.500 0.500

Calculated values
* symmetry: Fd-3m
* formation energy without anion corrections: -6.55 kcal/mol of atoms

---

Record 4
Below is crystalline Nb4MoN at its relaxed geometry, with properties calculated at the PBE-GGA level.

Cell lengths 6.448, 5.404, 5.826 Å; angles 90.00, 102.66, 90.00 degrees
Sites, in units of the cell vectors:
Nb 0.121 0.403 0.845
Nb 0.802 0.156 0.407
Mo 0.500 0.500 0.000
Nb 0.302 0.344 0.407
Mo 0.000 0.000 0.000
Nb 0.621 0.097 0.845
Nb 0.198 0.844 0.593
N 0.000 0.500 0.500
N 0.500 0.000 0.500
Nb 0.379 0.903 0.155
Nb 0.879 0.597 0.155
Nb 0.698 0.656 0.593

Calculated values
* symmetry: P2_1/c
* formation energy without anion corrections: -3.31 kcal/mol of atoms

---

Record 5
Below is crystalline ScCoOs2 at its relaxed geometry, with properties calculated at the PBE-GGA level.

Cell lengths 2.974, 4.476, 4.418 Å; angles 90.00, 90.00, 90.00 degrees
Sites, in units of the cell vectors:
Os 0.500 0.500 0.000
Sc 0.500 0.000 0.500
Co 0.000 0.500 0.500
Os 0.000 0.000 0.000

Calculated values
* ΔE_f: 31.7 meV per atom
* symmetry: Pmmm
* energy above the lowest structure with this stoichiometry: 77 meV per atom

---

Record 6
Below is crystalline Y2MnSe at its relaxed geometry, with properties calculated at the PBE-GGA level.

Cell lengths 8.152, 8.152, 8.152 Å; angles 27.29, 27.29, 27.29 degrees
Sites, in units of the cell vectors:
Mn 0.250 0.250 0.250
Y 0.496 0.496 0.496
Y 0.004 0.004 0.004
Se 0.750 0.750 0.750

Calculated values
* symmetry: R-3m
* formation energy without anion corrections: -13.78 kcal/mol of atoms